1.
Density functional theory data (PBE) for an optimized crystal structure of Li2TlMo.

```
Li2TlMo
1.0
2.942 0.026 0.000
-0.027 2.942 0.000
0.000 0.000 7.967
Li Mo Tl
2 1 1
Cartesian
0.000 0.000 0.108
1.457 1.484 1.953
0.000 0.000 3.819
1.457 1.484 6.070
```

Summary:
energy relative to the lowest polymorph listed for this composition: 0.0 kJ per mole of atoms
calculated formation energy: 1.424 eV per formula unit


2.
Density functional theory data (PBE) for an optimized crystal structure of KMgZn2Au.

```
KMgZn2Au
1.0
5.052 0.000 0.000
0.000 5.052 0.000
0.000 0.000 5.185
Mg Zn Au K
1 2 1 1
Cartesian
0.000 0.000 2.593
0.000 2.526 0.000
2.526 0.000 0.000
0.000 0.000 0.000
2.526 2.526 2.593
```

Summary:
calculated formation energy: -0.448 eV per formula unit


3.
Density functional theory data (PBE) for an optimized crystal structure of GeOs.

```
GeOs
1.0
9.590 0.000 0.000
0.000 9.590 0.000
0.000 0.000 4.211
Ge Os
8 8
Cartesian
4.357 7.596 0.000
5.233 1.995 0.000
1.995 4.357 0.000
7.596 5.233 0.000
9.152 2.800 2.105
0.438 6.790 2.105
6.790 9.152 2.105
2.800 0.438 2.105
2.872 2.000 0.000
6.719 7.590 0.000
7.590 2.872 0.000
2.000 6.719 0.000
7.667 6.795 2.105
1.923 2.795 2.105
2.795 7.667 2.105
6.795 1.923 2.105
```

Summary:
calculated formation energy: 1.349 eV per formula unit


4.
Density functional theory data (PBE) for an optimized crystal structure of PmY2N3.

```
PmY2N3
1.0
-0.733 -1.697 -5.819
5.291 2.441 1.825
0.462 -5.499 2.613
Pm Y N
2 4 6
Cartesian
5.290 2.440 1.824
1.275 -0.317 -3.270
0.502 -3.757 -3.239
3.745 -4.438 1.889
4.512 -1.003 1.849
2.516 -2.374 -0.683
4.737 -2.854 0.250
2.291 -0.522 0.916
2.747 -4.238 -2.346
1.502 -3.900 0.963
0.234 -1.917 -1.622
3.547 -0.835 -2.307
```

Summary:
formation energy from raw total energies: -1.60 eV per atom


5.
Density functional theory data (PBE) for an optimized crystal structure of KVAg2Br8.

```
KVAg2Br8
1.0
-2.890 -1.799 -5.670
-4.049 -3.764 4.472
-8.091 4.157 2.545
K V Ag Br
1 1 2 8
Cartesian
-4.045 2.079 1.272
0.000 0.000 0.000
-8.476 0.716 0.271
-6.553 -2.123 1.075
-5.305 -1.761 3.574
-5.245 -4.048 -0.152
-4.241 -1.758 -3.665
-9.724 0.355 -2.227
-9.784 2.642 1.499
-10.788 0.352 5.011
-8.947 -1.396 1.892
-6.082 -0.010 -0.546
```

Summary:
formation energy from raw total energies: -0.69 eV per atom


6.
Density functional theory data (PBE) for an optimized crystal structure of ZrGa2Re.

```
ZrGa2Re
1.0
2.858 0.000 0.000
1.429 2.475 0.000
1.429 0.825 10.198
Re Ga Zr
1 2 1
Cartesian
0.000 0.000 0.000
1.429 0.825 7.587
4.287 2.475 2.611
2.858 1.650 5.099
```

Summary:
energy relative to the lowest polymorph listed for this composition: 45.8 kJ per mole of atoms
calculated formation energy: 1.348 eV per formula unit


7.
Density functional theory data (PBE) for an optimized crystal structure of LiMnMo2.

```
LiMnMo2
1.0
-4.264 1.750 -2.004
0.137 -0.518 4.997
0.333 2.513 0.604
Li Mn Mo
1 1 2
Cartesian
-1.965 2.131 -0.700
0.235 0.998 2.801
0.000 0.000 0.000
-2.064 0.616 1.497
```

Summary:
energy relative to the lowest polymorph listed for this composition: 4.5 kJ per mole of atoms
calculated formation energy: 1.298 eV per formula unit


8.
Density functional theory data (PBE) for an optimized crystal structure of PbAu2Br.

```
PbAu2Br
1.0
-0.619 8.137 -1.476
-7.419 0.107 3.704
-2.723 4.689 3.694
Pb Au Br
2 4 2
Cartesian
0.000 0.000 0.000
-3.681 8.474 1.666
-1.998 6.315 0.456
-5.392 2.213 3.062
-5.017 6.608 3.586
-9.115 10.731 4.740
-4.019 4.122 1.114
-7.080 4.459 4.256
```

Summary:
energy relative to the lowest polymorph listed for this composition: 13.1 kJ per mole of atoms
formation energy from raw total energies: 0.02 eV per atom


What did we get for raw total energy? Answer: -3.900, -1.793, -7.249, -8.706, -3.132, -6.426, -7.862, -2.969 eV/atom, in the order shown.